1.
A relaxed Ac2Nd12Sm5 crystal. Source: the Alexandria database, functional PBE-GGA.

Cell: 18.553 11.920 6.367 Å, 90.00 103.55 90.00°
Space group C2/m (No. 12)
Asymmetric unit:
1 Ac 0.000 0.223 0.000 [4 per cell]
2 Nd 0.060 0.500 0.283 [4 per cell]
3 Nd 0.104 0.250 0.606 [8 per cell]
4 Nd 0.130 0.000 0.987 [4 per cell]
5 Nd 0.203 0.256 0.204 [8 per cell]
6 Sm 0.000 0.000 0.500 [2 per cell]
7 Sm 0.173 0.500 0.858 [4 per cell]
8 Sm 0.215 0.000 0.540 [4 per cell]

Summary:
The calculation puts the distance to the lowest polymorph of the same formula at 0.000 eV per atom. The value obtained for the density of states at the Fermi level is 1.50 states/eV per atom. The value obtained for the total moment is 0.00 Bohr magnetons per cell.

***

2.
A relaxed Ac4NdSm5 crystal. Source: the Alexandria database, functional PBE-GGA.

Cell: 17.120 6.123 7.411 Å, 90.00 100.74 90.00°
Space group C2/m (No. 12)
Asymmetric unit:
1 Ac 0.103 0.000 0.409 [4 per cell]
2 Ac 0.192 0.500 0.746 [4 per cell]
3 Nd 0.000 0.500 0.000 [2 per cell]
4 Sm 0.000 0.500 0.500 [2 per cell]
5 Sm 0.107 0.000 0.920 [4 per cell]
6 Sm 0.194 0.500 0.240 [4 per cell]

Summary:
The value obtained for the density of states at the Fermi level is 1.48 states/eV per atom. The value obtained for the total moment is 0.00 Bohr magnetons per cell.

***

no.,volume (Å³ per cell),formation energy from the elements (meV per atom)
1,1368.8,101
2,763.2,95